# 1
# BeTc3Os (PBEsol, optimized geometry)
data_BeTc3Os
_chemical_formula_sum 'Be1 Tc3 Os1'
_cell_length_a 4.031
_cell_length_b 4.031
_cell_length_c 4.031
_cell_angle_alpha 90.00
_cell_angle_beta 90.00
_cell_angle_gamma 90.00
_space_group_name_H-M_alt 'P m -3 m'
_space_group_IT_number 221
_space_group_name_Hall '-P 4 2 3'
loop_
_atom_site_label
_atom_site_fract_x
_atom_site_fract_y
_atom_site_fract_z
Be1 0.000 0.000 0.000
Tc1 0.000 0.000 0.500
Os1 0.500 0.500 0.500
# Calculated density (g/cm³): 12.5
# Electronic total energy (eV/atom): -9.36
# V (Å³/cell): 66
# Crystal system: cubic
# N(E_F) (states/eV per cell): 4.41
# Spin magnetization (μB per formula unit): 0.00

# 2
# Be2TcOs (PBEsol, optimized geometry)
data_Be2TcOs
_chemical_formula_sum 'Be2 Tc1 Os1'
_cell_length_a 2.756
_cell_length_b 2.756
_cell_length_c 5.816
_cell_angle_alpha 90.00
_cell_angle_beta 90.00
_cell_angle_gamma 90.00
_space_group_name_H-M_alt 'P 4 m m'
_space_group_IT_number 99
_space_group_name_Hall 'P 4 -2'
loop_
_atom_site_label
_atom_site_fract_x
_atom_site_fract_y
_atom_site_fract_z
Be1 0.000 0.000 0.000
Be2 0.500 0.500 0.185
Tc1 0.500 0.500 0.731
Os1 0.000 0.000 0.435
# Calculated density (g/cm³): 11.5
# Electronic total energy (eV/atom): -8.03
# V (Å³/cell): 44
# Crystal system: tetragonal
# N(E_F) (states/eV per cell): 1.94
# Spin magnetization (μB per formula unit): 0.00

# 3
# BeZnTc2Os (PBEsol, optimized geometry)
data_BeZnTc2Os
_chemical_formula_sum 'Be1 Zn1 Tc2 Os1'
_cell_length_a 4.614
_cell_length_b 4.614
_cell_length_c 4.648
_cell_angle_alpha 90.00
_cell_angle_beta 90.00
_cell_angle_gamma 90.00
_space_group_name_H-M_alt 'P 4/m m m'
_space_group_IT_number 123
_space_group_name_Hall '-P 4 2'
loop_
_atom_site_label
_atom_site_fract_x
_atom_site_fract_y
_atom_site_fract_z
Be1 0.000 0.000 0.000
Zn1 0.500 0.500 0.000
Tc1 0.000 0.500 0.500
Os1 0.500 0.500 0.500
# Calculated density (g/cm³): 7.7
# Electronic total energy (eV/atom): -6.20
# V (Å³/cell): 99
# Crystal system: tetragonal
# N(E_F) (states/eV per cell): 4.49
# Spin magnetization (μB per formula unit): 1.62

# 4
# Be2TeOs (PBEsol, optimized geometry)
data_Be2TeOs
_chemical_formula_sum 'Be2 Te1 Os1'
_cell_length_a 2.937
_cell_length_b 2.924
_cell_length_c 7.168
_cell_angle_alpha 90.00
_cell_angle_beta 91.14
_cell_angle_gamma 90.00
_space_group_name_H-M_alt 'P 1 2/m 1'
_space_group_IT_number 10
_space_group_name_Hall '-P 2y'
loop_
_atom_site_label
_atom_site_fract_x
_atom_site_fract_y
_atom_site_fract_z
Be1 0.008 0.000 0.153
Te1 0.000 0.500 0.500
Os1 0.500 0.500 0.000
# Calculated density (g/cm³): 9.1
# Electronic total energy (eV/atom): -5.69
# V (Å³/cell): 62
# Crystal system: monoclinic
# N(E_F) (states/eV per cell): 2.07
# ΔE_f (raw) (eV/atom): 0.25
# Spin magnetization (μB per formula unit): 0.00

# 5
# BeTe2Os (PBEsol, optimized geometry)
data_BeTe2Os
_chemical_formula_sum 'Be4 Te8 Os4'
_cell_length_a 5.888
_cell_length_b 5.888
_cell_length_c 10.672
_cell_angle_alpha 90.00
_cell_angle_beta 90.00
_cell_angle_gamma 90.00
_space_group_name_H-M_alt 'I -4 2 d'
_space_group_IT_number 122
_space_group_name_Hall 'I -4 2bw'
loop_
_atom_site_label
_atom_site_fract_x
_atom_site_fract_y
_atom_site_fract_z
Be1 0.000 0.000 0.000
Te1 0.229 0.250 0.125
Os1 0.000 0.000 0.500
# Calculated density (g/cm³): 8.2
# Electronic total energy (eV/atom): -5.37
# V (Å³/cell): 370
# Crystal system: tetragonal
# N(E_F) (states/eV per cell): 7.07
# ΔE_f (raw) (eV/atom): 0.45
# Spin magnetization (μB per formula unit): 0.00

# 6
# BeTe2Os (PBEsol, optimized geometry)
data_BeTe2Os
_chemical_formula_sum 'Be1 Te2 Os1'
_cell_length_a 4.746
_cell_length_b 4.746
_cell_length_c 3.178
_cell_angle_alpha 90.00
_cell_angle_beta 90.00
_cell_angle_gamma 90.00
_space_group_name_H-M_alt 'P 4/m m m'
_space_group_IT_number 123
_space_group_name_Hall '-P 4 2'
loop_
_atom_site_label
_atom_site_fract_x
_atom_site_fract_y
_atom_site_fract_z
Be1 0.000 0.000 0.000
Te1 0.000 0.500 0.500
Os1 0.500 0.500 0.000
# Calculated density (g/cm³): 10.5
# Electronic total energy (eV/atom): -5.01
# V (Å³/cell): 72
# Crystal system: tetragonal
# N(E_F) (states/eV per cell): 2.09
# ΔE_f (raw) (eV/atom): 0.80
# Spin magnetization (μB per formula unit): 0.00

# 7
# BeTe2Os (PBEsol, optimized geometry)
data_BeTe2Os
_chemical_formula_sum 'Be3 Te6 Os3'
_cell_length_a 3.8589
_cell_length_b 3.8589
_cell_length_c 18.1924
_cell_angle_alpha 90.00
_cell_angle_beta 90.00
_cell_angle_gamma 120.00
_space_group_name_H-M_alt 'R -3 m'
_space_group_IT_number 166
_space_group_name_Hall '-R 3 2"'
loop_
_atom_site_label
_atom_site_fract_x
_atom_site_fract_y
_atom_site_fract_z
Be1 0.0000 0.0000 0.0000
Te1 0.0000 0.0000 0.2478
Os1 0.0000 0.0000 0.5000
# Calculated density (g/cm³): 9.6
# Electronic total energy (eV/atom): -5.28
# V (Å³/cell): 235
# Crystal system: trigonal
# N(E_F) (states/eV per cell): 8.52
# ΔE_f (raw) (eV/atom): 0.54
# Spin magnetization (μB per formula unit): 0.00

# 8
# BeTe2Os (PBEsol, optimized geometry)
data_BeTe2Os
_chemical_formula_sum 'Be2 Te4 Os2'
_cell_length_a 4.168
_cell_length_b 4.168
_cell_length_c 8.330
_cell_angle_alpha 90.00
_cell_angle_beta 90.00
_cell_angle_gamma 90.00
_space_group_name_H-M_alt 'I -4 m 2'
_space_group_IT_number 119
_space_group_name_Hall 'I -4 -2'
loop_
_atom_site_label
_atom_site_fract_x
_atom_site_fract_y
_atom_site_fract_z
Be1 0.000 0.000 0.000
Te1 0.000 0.000 0.500
Te2 0.000 0.500 0.750
Os1 0.000 0.500 0.250
# Calculated density (g/cm³): 10.4
# Electronic total energy (eV/atom): -4.86
# V (Å³/cell): 145
# Crystal system: tetragonal
# N(E_F) (states/eV per cell): 3.51
# ΔE_f (raw) (eV/atom): 0.96
# Spin magnetization (μB per formula unit): 0.00

# 9
# Be2TeOs (PBEsol, optimized geometry)
data_Be2TeOs
_chemical_formula_sum 'Be4 Te2 Os2'
_cell_length_a 7.601
_cell_length_b 3.058
_cell_length_c 5.507
_cell_angle_alpha 90.00
_cell_angle_beta 93.30
_cell_angle_gamma 90.00
_space_group_name_H-M_alt 'C 1 m 1'
_space_group_IT_number 8
_space_group_name_Hall 'C -2y'
loop_
_atom_site_label
_atom_site_fract_x
_atom_site_fract_y
_atom_site_fract_z
Be1 0.000 0.000 0.000
Be2 0.198 0.500 0.858
Te1 0.103 0.500 0.421
Os1 0.293 0.000 0.138
# Calculated density (g/cm³): 8.7
# Electronic total energy (eV/atom): -5.75
# V (Å³/cell): 128
# Crystal system: monoclinic
# N(E_F) (states/eV per cell): 0.76
# ΔE_f (raw) (eV/atom): 0.19
# Spin magnetization (μB per formula unit): 0.00

# 10
# BeTeOs (PBEsol, optimized geometry)
data_BeTeOs
_chemical_formula_sum 'Be1 Te1 Os1'
_cell_length_a 3.0982
_cell_length_b 3.0982
_cell_length_c 5.7005
_cell_angle_alpha 90.00
_cell_angle_beta 90.00
_cell_angle_gamma 120.00
_space_group_name_H-M_alt 'P 3 m 1'
_space_group_IT_number 156
_space_group_name_Hall 'P 3 -2"'
loop_
_atom_site_label
_atom_site_fract_x
_atom_site_fract_y
_atom_site_fract_z
Be1 0.0000 0.0000 0.0000
Te1 0.6667 0.3333 0.3764
Os1 0.3333 0.6667 0.7280
# Calculated density (g/cm³): 11.5
# Electronic total energy (eV/atom): -6.03
# V (Å³/cell): 47
# Crystal system: trigonal
# N(E_F) (states/eV per cell): 1.22
# ΔE_f (raw) (eV/atom): 0.55
# Spin magnetization (μB per formula unit): 0.00

# 11
# Be2TeOs (PBEsol, optimized geometry)
data_Be2TeOs
_chemical_formula_sum 'Be4 Te2 Os2'
_cell_length_a 5.330
_cell_length_b 8.241
_cell_length_c 3.161
_cell_angle_alpha 90.00
_cell_angle_beta 123.85
_cell_angle_gamma 90.00
_space_group_name_H-M_alt 'C 1 2/m 1'
_space_group_IT_number 12
_space_group_name_Hall '-C 2y'
loop_
_atom_site_label
_atom_site_fract_x
_atom_site_fract_y
_atom_site_fract_z
Be1 0.250 0.250 0.000
Te1 0.000 0.000 0.000
Os1 0.000 0.500 0.000
# Calculated density (g/cm³): 9.7
# Electronic total energy (eV/atom): -5.28
# V (Å³/cell): 115
# Crystal system: monoclinic
# N(E_F) (states/eV per cell): 4.93
# ΔE_f (raw) (eV/atom): 0.66
# Spin magnetization (μB per formula unit): 0.00

# 12
# TiBe2Os2 (PBEsol, optimized geometry)
data_TiBe2Os2
_chemical_formula_sum 'Ti2 Be4 Os4'
_cell_length_a 6.223
_cell_length_b 6.223
_cell_length_c 2.964
_cell_angle_alpha 90.00
_cell_angle_beta 90.00
_cell_angle_gamma 90.00
_space_group_name_H-M_alt 'P 4/m b m'
_space_group_IT_number 127
_space_group_name_Hall '-P 4 2ab'
loop_
_atom_site_label
_atom_site_fract_x
_atom_site_fract_y
_atom_site_fract_z
Ti1 0.000 0.000 0.000
Be1 0.120 0.380 0.000
Os1 0.171 0.671 0.500
# Calculated density (g/cm³): 12.9
# Electronic total energy (eV/atom): -8.56
# V (Å³/cell): 115
# Crystal system: tetragonal
# N(E_F) (states/eV per cell): 4.66
# Spin magnetization (μB per formula unit): 0.00

# 13
# BeTlOs2 (PBEsol, optimized geometry)
data_BeTlOs2
_chemical_formula_sum 'Be1 Tl1 Os2'
_cell_length_a 3.862
_cell_length_b 3.862
_cell_length_c 3.963
_cell_angle_alpha 90.00
_cell_angle_beta 90.00
_cell_angle_gamma 90.00
_space_group_name_H-M_alt 'P 4/m m m'
_space_group_IT_number 123
_space_group_name_Hall '-P 4 2'
loop_
_atom_site_label
_atom_site_fract_x
_atom_site_fract_y
_atom_site_fract_z
Be1 0.000 0.000 0.000
Tl1 0.500 0.500 0.000
Os1 0.000 0.500 0.500
# Calculated density (g/cm³): 16.7
# Electronic total energy (eV/atom): -6.82
# V (Å³/cell): 59
# Crystal system: tetragonal
# N(E_F) (states/eV per cell): 4.62
# Energy above the lowest structure with this stoichiometry (meV per atom): 278
# Spin magnetization (μB per formula unit): 0.00

# 14
# BeTlOs3 (PBEsol, optimized geometry)
data_BeTlOs3
_chemical_formula_sum 'Be1 Tl1 Os3'
_cell_length_a 4.183
_cell_length_b 4.183
_cell_length_c 4.183
_cell_angle_alpha 90.00
_cell_angle_beta 90.00
_cell_angle_gamma 90.00
_space_group_name_H-M_alt 'P m -3 m'
_space_group_IT_number 221
_space_group_name_Hall '-P 4 2 3'
loop_
_atom_site_label
_atom_site_fract_x
_atom_site_fract_y
_atom_site_fract_z
Be1 0.000 0.000 0.000
Tl1 0.500 0.500 0.500
Os1 0.000 0.000 0.500
# Calculated density (g/cm³): 17.8
# Electronic total energy (eV/atom): -7.59
# V (Å³/cell): 73
# Crystal system: cubic
# N(E_F) (states/eV per cell): 6.46
# Spin magnetization (μB per formula unit): 0.53

# 15
# BeTlOs2 (PBEsol, optimized geometry)
data_BeTlOs2
_chemical_formula_sum 'Be2 Tl2 Os4'
_cell_length_a 8.242
_cell_length_b 2.856
_cell_length_c 5.472
_cell_angle_alpha 90.00
_cell_angle_beta 97.46
_cell_angle_gamma 90.00
_space_group_name_H-M_alt 'C 1 m 1'
_space_group_IT_number 8
_space_group_name_Hall 'C -2y'
loop_
_atom_site_label
_atom_site_fract_x
_atom_site_fract_y
_atom_site_fract_z
Be1 0.000 0.000 0.000
Tl1 0.270 0.500 0.326
Os1 0.027 0.500 0.666
Os2 0.270 0.000 0.856
# Calculated density (g/cm³): 15.4
# Electronic total energy (eV/atom): -7.10
# V (Å³/cell): 128
# Crystal system: monoclinic
# N(E_F) (states/eV per cell): 6.89
# Energy above the lowest structure with this stoichiometry (meV per atom): 0
# Spin magnetization (μB per formula unit): 0.00

# 16
# Be2VOs2 (PBEsol, optimized geometry)
data_Be2VOs2
_chemical_formula_sum 'Be4 V2 Os4'
_cell_length_a 6.144
_cell_length_b 6.144
_cell_length_c 2.912
_cell_angle_alpha 90.00
_cell_angle_beta 90.00
_cell_angle_gamma 90.00
_space_group_name_H-M_alt 'P 4/m b m'
_space_group_IT_number 127
_space_group_name_Hall '-P 4 2ab'
loop_
_atom_site_label
_atom_site_fract_x
_atom_site_fract_y
_atom_site_fract_z
Be1 0.122 0.378 0.000
V1 0.000 0.000 0.000
Os1 0.172 0.672 0.500
# Calculated density (g/cm³): 13.6
# Electronic total energy (eV/atom): -8.68
# V (Å³/cell): 110
# Crystal system: tetragonal
# N(E_F) (states/eV per cell): 5.17
# Spin magnetization (μB per formula unit): 0.00

# 17
# BeOsW (PBEsol, optimized geometry)
data_BeOsW
_chemical_formula_sum 'Be4 Os4 W4'
_cell_length_a 5.745
_cell_length_b 5.745
_cell_length_c 5.745
_cell_angle_alpha 90.00
_cell_angle_beta 90.00
_cell_angle_gamma 90.00
_space_group_name_H-M_alt 'F -4 3 m'
_space_group_IT_number 216
_space_group_name_Hall 'F -4 2 3'
loop_
_atom_site_label
_atom_site_fract_x
_atom_site_fract_y
_atom_site_fract_z
Be1 0.000 0.000 0.000
Os1 0.000 0.000 0.500
W1 0.250 0.250 0.750
# Calculated density (g/cm³): 13.4
# Electronic total energy (eV/atom): -9.21
# V (Å³/cell): 190
# Crystal system: cubic
# N(E_F) (states/eV per cell): 8.43
# Spin magnetization (μB per formula unit): 0.00

# 18
# Be2OsW (PBEsol, optimized geometry)
data_Be2OsW
_chemical_formula_sum 'Be4 Os2 W2'
_cell_length_a 5.187
_cell_length_b 5.995
_cell_length_c 2.950
_cell_angle_alpha 90.00
_cell_angle_beta 90.00
_cell_angle_gamma 90.00
_space_group_name_H-M_alt 'C m m m'
_space_group_IT_number 65
_space_group_name_Hall '-C 2 2'
loop_
_atom_site_label
_atom_site_fract_x
_atom_site_fract_y
_atom_site_fract_z
Be1 0.250 0.250 0.000
Os1 0.000 0.000 0.500
W1 0.000 0.500 0.500
# Calculated density (g/cm³): 14.2
# Electronic total energy (eV/atom): -8.34
# V (Å³/cell): 92
# Crystal system: orthorhombic
# N(E_F) (states/eV per cell): 4.93
# Spin magnetization (μB per formula unit): 0.00

# 19
# Be2OsW (PBEsol, optimized geometry)
data_Be2OsW
_chemical_formula_sum 'Be4 Os2 W2'
_cell_length_a 3.538
_cell_length_b 2.867
_cell_length_c 8.761
_cell_angle_alpha 90.00
_cell_angle_beta 90.00
_cell_angle_gamma 90.00
_space_group_name_H-M_alt 'A m m 2'
_space_group_IT_number 38
_space_group_name_Hall 'A 2 -2'
loop_
_atom_site_label
_atom_site_fract_x
_atom_site_fract_y
_atom_site_fract_z
Be1 0.000 0.000 0.000
Be2 0.500 0.000 0.127
Os1 0.500 0.000 0.407
W1 0.000 0.000 0.728
# Calculated density (g/cm³): 14.7
# Electronic total energy (eV/atom): -8.62
# V (Å³/cell): 89
# Crystal system: orthorhombic
# N(E_F) (states/eV per cell): 3.27
# Spin magnetization (μB per formula unit): 0.00

# 20
# Be4OsW (PBEsol, optimized geometry)
data_Be4OsW
_chemical_formula_sum 'Be16 Os4 W4'
_cell_length_a 6.174
_cell_length_b 6.174
_cell_length_c 6.174
_cell_angle_alpha 90.00
_cell_angle_beta 90.00
_cell_angle_gamma 90.00
_space_group_name_H-M_alt 'F -4 3 m'
_space_group_IT_number 216
_space_group_name_Hall 'F -4 2 3'
loop_
_atom_site_label
_atom_site_fract_x
_atom_site_fract_y
_atom_site_fract_z
Be1 0.124 0.124 0.124
Os1 0.000 0.000 0.500
W1 0.250 0.250 0.750
# Calculated density (g/cm³): 11.6
# Electronic total energy (eV/atom): -7.32
# V (Å³/cell): 235
# Crystal system: cubic
# N(E_F) (states/eV per cell): 8.22
# Spin magnetization (μB per formula unit): 0.00